# LiUAs, optimized geometry, DFT PBE-GGA
# calculated total energy	-5.699	eV/atom
data_LiUAs
_chemical_formula_sum 'Li4 U4 As4'
_symmetry_space_group_name_H-M 'F -4 3 m'
_symmetry_Int_Tables_number 216
_symmetry_space_group_name_Hall 'F -4 2 3'
_cell_length_a 6.639
_cell_length_b 6.639
_cell_length_c 6.639
_cell_angle_alpha 90.00
_cell_angle_beta 90.00
_cell_angle_gamma 90.00
loop_
_atom_site_label
_atom_site_fract_x
_atom_site_fract_y
_atom_site_fract_z
Li1 0.000 0.000 0.000
U1 0.250 0.250 0.750
As1 0.000 0.000 0.500